1.
## MgRe2Mo (meta-GGA SCAN)

Data for a PBEsol-optimized structure of MgRe2Mo.

a = 5.4528 Å, b = 8.8549 Å, c = 2.6643 Å
α = 90.00°, β = 110.43°, γ = 90.00°
Space group C2/m (No. 12)
Asymmetric unit:
Mg  0.0000  0.0000  0.0000 (multiplicity 2)
Re  0.2500  0.2500  0.5000 (multiplicity 4)
Mo  0.0000  0.5000  0.0000 (multiplicity 2)

Computed properties:
The formation energy from the elements is 191 meV/atom. The total magnetic moment comes out at 0.00 μB/cell. As for the crystal system: monoclinic. As for the density of states at the Fermi level: 0.664 states/eV/atom. The total energy is -1.666 hartree per atom.

***

2.
## Be2NiSb (meta-GGA SCAN)

Data for a PBEsol-optimized structure of Be2NiSb.

a = 7.4370 Å, b = 3.5737 Å, c = 4.0056 Å
α = 90.00°, β = 102.50°, γ = 90.00°
Space group C2/m (No. 12)
Asymmetric unit:
Be  0.2158  0.0000  0.1170 (multiplicity 4)
Ni  0.0000  0.5000  0.0000 (multiplicity 2)
Sb  0.0000  0.0000  0.5000 (multiplicity 2)

Computed properties:
The total magnetic moment comes out at 0.00 μB/cell. As for the crystal system: monoclinic. The value obtained for the formation energy (no corrections) is 0.1138 eV per atom. As for the density of states at the Fermi level: 0.325 states/eV/atom. The total energy is -0.567 hartree per atom.

***

3.
## LaCdIn (meta-GGA SCAN)

Data for a PBEsol-optimized structure of LaCdIn.

a = 4.9173 Å, b = 8.6033 Å, c = 7.5844 Å
α = 90.00°, β = 90.00°, γ = 90.00°
Space group Imm2 (No. 44)
Asymmetric unit:
La  0.0000  0.0000  0.0000 (multiplicity 2)
La  0.0000  0.0000  0.4934 (multiplicity 2)
Cd  0.0000  0.3323  0.7811 (multiplicity 4)
In  0.0000  0.3311  0.2150 (multiplicity 4)

Computed properties:
The formation energy from the elements is -635 meV/atom. The total magnetic moment comes out at 0.43 μB/cell. As for the crystal system: orthorhombic. As for the density of states at the Fermi level: 0.369 states/eV/atom. The total energy is -1.333 hartree per atom.

***

4.
## Ta3W5 (meta-GGA SCAN)

Data for a PBEsol-optimized structure of Ta3W5.

a = 6.3824 Å, b = 9.0263 Å, c = 9.0289 Å
α = 90.00°, β = 90.00°, γ = 90.00°
Space group Amm2 (No. 38)
Asymmetric unit:
Ta  0.0000  0.0000  0.0000 (multiplicity 2)
Ta  0.0000  0.2475  0.2471 (multiplicity 4)
Ta  0.2528  0.0000  0.7469 (multiplicity 4)
Ta  0.5000  0.0000  0.4936 (multiplicity 2)
W  0.0000  0.0000  0.4951 (multiplicity 2)
W  0.2523  0.2499  0.4968 (multiplicity 8)
W  0.2526  0.0000  0.2468 (multiplicity 4)
W  0.5000  0.0000  0.9989 (multiplicity 2)
W  0.5000  0.2476  0.2466 (multiplicity 4)

Computed properties:
The formation energy from the elements is -94 meV/atom. The total magnetic moment comes out at 0.00 μB/cell. As for the crystal system: orthorhombic. As for the density of states at the Fermi level: 0.376 states/eV/atom. The total energy is -2.522 hartree per atom.

***

5.
## Ho2B6Rh9 (meta-GGA SCAN)

Data for a PBEsol-optimized structure of Ho2B6Rh9.

a = 5.5215 Å, b = 5.5215 Å, c = 8.4767 Å
α = 90.00°, β = 90.00°, γ = 120.00°
Space group P6/mmm (No. 191)
Asymmetric unit:
Ho  0.0000  0.0000  0.2050 (multiplicity 2)
B  0.3333  0.6667  0.1675 (multiplicity 4)
B  0.3333  0.6667  0.5000 (multiplicity 2)
Rh  0.0000  0.5000  0.0000 (multiplicity 3)
Rh  0.0000  0.5000  0.3357 (multiplicity 6)

Computed properties:
The formation energy from the elements is -755 meV/atom. The total magnetic moment comes out at 0.00 μB/cell. As for the crystal system: hexagonal. As for the density of states at the Fermi level: 0.155 states/eV/atom. The total energy is -0.993 hartree per atom.

***

6.
## CrSiSb (meta-GGA SCAN)

Data for a PBEsol-optimized structure of CrSiSb.

a = 3.1242 Å, b = 3.1242 Å, c = 5.8343 Å
α = 90.00°, β = 90.00°, γ = 120.00°
Space group P3m1 (No. 156)
Asymmetric unit:
Cr  0.0000  0.0000  0.0000 (multiplicity 1)
Si  0.3333  0.6667  0.2680 (multiplicity 1)
Sb  0.6667  0.3333  0.6715 (multiplicity 1)

Computed properties:
The total magnetic moment comes out at 0.63 μB/cell. As for the crystal system: trigonal. The value obtained for the formation energy (no corrections) is 0.3542 eV per atom. As for the density of states at the Fermi level: 0.404 states/eV/atom. The total energy is -0.791 hartree per atom.